(1)
## RbAsH6 (PBE-GGA)

Data for an optimized crystal structure of RbAsH6.

Unit cell a=5.2650 b=5.2650 c=5.2650 alpha=57.91 beta=57.91 gamma=57.91
Atoms (fractional coordinates):
Rb (0.0000, 0.0000, 0.0000)
As (0.5000, 0.5000, 0.5000)
H (0.1252, 0.5802, 0.5802)
H (0.4198, 0.4198, 0.8748)
H (0.4198, 0.8748, 0.4198)
H (0.5802, 0.1252, 0.5802)
H (0.5802, 0.5802, 0.1252)
H (0.8748, 0.4198, 0.4198)

Properties
Symmetry: R-3m (166)


(2)
## TlSn2P2 (PBE-GGA)

Data for an optimized crystal structure of TlSn2P2.

Unit cell a=6.0297 b=6.0297 c=6.0297 alpha=129.79 beta=129.79 gamma=73.74
Atoms (fractional coordinates):
Tl (0.0000, 0.0000, 0.0000)
Sn (0.3448, 0.3448, 0.0000)
Sn (0.6552, 0.6552, 0.0000)
P (0.2500, 0.7500, 0.5000)
P (0.7500, 0.2500, 0.5000)

Properties
Energy of formation from the pure elements, eV/atom: 0.10
Symmetry: I4/mmm (139)


(3)
## Cs2PmAsSe4 (PBE-GGA)

Data for an optimized crystal structure of Cs2PmAsSe4.

Unit cell a=9.0420 b=9.0420 c=9.0420 alpha=120.05 beta=119.96 gamma=89.99
Atoms (fractional coordinates):
Cs (0.0000, 0.0000, 0.0000)
Cs (0.5000, 0.0000, 0.0000)
Cs (0.5000, 0.0000, 0.5000)
Cs (0.5000, 0.5000, 0.5000)
Pm (0.0000, 0.5000, 0.5000)
Pm (0.5000, 0.5000, 0.0000)
As (0.0000, 0.0000, 0.5000)
As (0.0000, 0.5000, 0.0000)
Se (0.1813, 0.7330, 0.4483)
Se (0.2153, 0.2670, 0.9483)
Se (0.2226, 0.2589, 0.5362)
Se (0.2226, 0.6864, 0.9638)
Se (0.7774, 0.3136, 0.0362)
Se (0.7774, 0.7411, 0.4638)
Se (0.7847, 0.7330, 0.0517)
Se (0.8187, 0.2670, 0.5517)

Properties
Symmetry: Imma (74)


So what do the calculations give for E? Going down the list: -24.01, -20.67, -33.03 eV per formula unit.